ZrHPb3: relaxed, PBEsol.

Cell lengths 4.7506, 4.7506, 4.7506 Å; angles 90.00, 90.00, 90.00 degrees
Closest atoms and distances in Å follow each position.
Element x y z (fractional)
Zr  0.5000  0.5000  0.5000  12 Pb 3.36
H  0.0000  0.0000  0.0000  6 Pb 2.38
Pb  0.5000  0.0000  0.0000  2 H 2.38
Pb  0.0000  0.5000  0.0000  2 H 2.38
Pb  0.0000  0.0000  0.5000  2 H 2.38

- N(E_F): 2.99 states/eV/f.u.
- Energy: -4.6504 eV per atom

---

BeTlCr2: relaxed, PBEsol.

Cell lengths 3.1936, 4.3409, 4.4915 Å; angles 108.26, 110.83, 90.00 degrees
Closest atoms and distances in Å follow each position.
Element x y z (fractional)
Cr  0.2732  0.3472  0.5464  2 Cr 2.19, 2 Be 2.40
Cr  0.7268  0.6528  0.4536  2 Cr 2.19, 2 Be 2.40
Tl  0.5000  0.0000  0.0000  4 Be 2.69, 8 Cr 2.79-2.83
Be  0.0000  0.5000  0.0000  6 Cr 2.40-2.59

- Distance to the lowest polymorph of the same formula: 0 meV/atom
- Formation enthalpy at 0 K: 2.34 eV/f.u.
- N(E_F): 2.01 states/eV/f.u.
- Energy: -6.1936 eV per atom

---

Ta4Mo3: relaxed, PBEsol.

Cell lengths 4.5304, 4.5304, 6.9878 Å; angles 71.09, 71.09, 60.00 degrees
Closest atoms and distances in Å follow each position.
Element x y z (fractional)
Ta  0.5738  0.5738  0.2785  1 Mo 2.70, 7 Ta 2.75-2.81
Ta  0.4291  0.4291  0.7126  6 Mo 2.76-2.79, 2 Ta 2.80-2.81
Ta  0.2849  0.2849  0.1453  4 Ta 2.75-2.80, 4 Mo 2.79-2.80
Ta  0.8552  0.8552  0.4343  5 Mo 2.77-2.87, 3 Ta 2.80
Mo  0.0028  0.0028  0.9916  4 Mo 2.70-2.75, 4 Ta 2.80-2.87
Mo  0.1415  0.1415  0.5754  1 Mo 2.70, 7 Ta 2.76-2.79
Mo  0.7125  0.7125  0.8624  5 Ta 2.70-2.79, 3 Mo 2.75

- Distance to the lowest polymorph of the same formula: 23 meV/atom
- Formation enthalpy at 0 K: -0.78 eV/f.u.
- N(E_F): 5.94 states/eV/f.u.
- Energy: -12.3266 eV per atom

---

Lu3Ga5: relaxed, PBEsol.

Cell lengths 5.8612, 9.3970, 11.1155 Å; angles 90.00, 90.00, 90.00 degrees
Closest atoms and distances in Å follow each position.
Element x y z (fractional)
Ga  0.8729  0.2500  0.5057  3 Ga 2.61-2.83, 3 Lu 2.87-2.89
Ga  0.1112  0.2500  0.7978  3 Ga 2.62-2.64, 3 Lu 2.87
Ga  0.3729  0.7500  0.9943  3 Ga 2.61-2.83, 3 Lu 2.87-2.89
Ga  0.3764  0.5513  0.5919  4 Ga 2.61-2.83, 1 Lu 2.85
Ga  0.3314  0.7500  0.2482  4 Ga 2.64-2.83, 1 Lu 2.76
Ga  0.6236  0.0513  0.4081  4 Ga 2.61-2.83, 1 Lu 2.85
Ga  0.8888  0.7500  0.2022  3 Ga 2.62-2.64, 3 Lu 2.87
Ga  0.1236  0.5513  0.0919  4 Ga 2.61-2.83, 1 Lu 2.85
Ga  0.3764  0.9487  0.5919  4 Ga 2.61-2.83, 1 Lu 2.85
Ga  0.6271  0.2500  0.0057  3 Ga 2.61-2.83, 3 Lu 2.87-2.89
Ga  0.6112  0.7500  0.7022  3 Ga 2.62-2.64, 3 Lu 2.87
Ga  0.8314  0.2500  0.2518  4 Ga 2.64-2.83, 1 Lu 2.76
Ga  0.8764  0.0513  0.9081  4 Ga 2.61-2.83, 1 Lu 2.85
Ga  0.8764  0.4487  0.9081  4 Ga 2.61-2.83, 1 Lu 2.85
Ga  0.6236  0.4487  0.4081  4 Ga 2.61-2.83, 1 Lu 2.85
Ga  0.6686  0.2500  0.7518  4 Ga 2.64-2.83, 1 Lu 2.76
Ga  0.1686  0.7500  0.7482  4 Ga 2.64-2.83, 1 Lu 2.76
Ga  0.3888  0.2500  0.2978  3 Ga 2.62-2.64, 3 Lu 2.87
Ga  0.1236  0.9487  0.0919  4 Ga 2.61-2.83, 1 Lu 2.85
Ga  0.1271  0.7500  0.4943  3 Ga 2.61-2.83, 3 Lu 2.87-2.89
Lu  0.3917  0.4924  0.8527  10 Ga 2.87-3.21
Lu  0.3466  0.2500  0.5711  8 Ga 2.76-3.07
Lu  0.1083  0.0076  0.3527  10 Ga 2.87-3.21
Lu  0.8917  0.9924  0.6473  10 Ga 2.87-3.21
Lu  0.8917  0.5076  0.6473  10 Ga 2.87-3.21
Lu  0.6083  0.5076  0.1473  10 Ga 2.87-3.21
Lu  0.3917  0.0076  0.8527  10 Ga 2.87-3.21
Lu  0.6083  0.9924  0.1473  10 Ga 2.87-3.21
Lu  0.1083  0.4924  0.3527  10 Ga 2.87-3.21
Lu  0.8466  0.7500  0.9289  8 Ga 2.76-3.07
Lu  0.6534  0.7500  0.4289  8 Ga 2.76-3.07
Lu  0.1534  0.2500  0.0711  8 Ga 2.76-3.07

- Formation enthalpy at 0 K: -5.29 eV/f.u.
- N(E_F): 3.60 states/eV/f.u.
- Energy: -4.5758 eV per atom

---

Rb2SbP2: relaxed, PBEsol.

Cell lengths 3.4269, 3.4269, 11.6717 Å; angles 98.44, 98.44, 90.00 degrees
Closest atoms and distances in Å follow each position.
Element x y z (fractional)
Rb  0.6199  0.6199  0.2397  4 Rb 3.43, 4 P 3.43, 4 Sb 3.66
Rb  0.3801  0.3801  0.7603  4 Rb 3.43, 4 P 3.43, 4 Sb 3.66
P  0.2500  0.7500  0.5000  4 P 2.42
P  0.7500  0.2500  0.5000  4 P 2.42
Sb  0.0000  0.0000  0.0000  4 Sb 3.43, 8 Rb 3.66

- Formation energy without anion corrections: -0.14 eV/atom
- N(E_F): 1.56 states/eV/f.u.
- Energy: -3.7783 eV per atom

---

AlCoF2: relaxed, PBEsol.

Cell lengths 2.7663, 2.7663, 7.0688 Å; angles 78.72, 78.72, 60.00 degrees
Closest atoms and distances in Å follow each position.
Element x y z (fractional)
Al  0.0000  0.0000  0.0000  2 F 1.94
F  0.0940  0.0940  0.7180  1 Al 1.94
F  0.9060  0.9060  0.2820  1 Al 1.94
Co  0.5000  0.5000  0.5000  6 F 2.19

- Distance to the lowest polymorph of the same formula: 0 meV/atom
- Formation energy without anion corrections: -1.17 eV/atom
- N(E_F): 2.98 states/eV/f.u.
- Energy: -5.0956 eV per atom

---

CuAgO2: relaxed, PBEsol.

Cell lengths 2.8439, 3.3053, 5.3078 Å; angles 90.00, 90.00, 90.00 degrees
Closest atoms and distances in Å follow each position.
Element x y z (fractional)
Cu  0.5000  0.5000  0.5000  4 O 1.89
O  0.0000  0.5000  0.2666  2 Cu 1.89
O  0.0000  0.5000  0.7334  2 Cu 1.89
Ag  0.0000  0.0000  0.0000  4 O 2.18

- Formation energy without anion corrections: -0.37 eV/atom
- N(E_F): 1.91 states/eV/f.u.
- Energy: -4.9054 eV per atom

---

Ti3NbW: relaxed, PBEsol.

Cell lengths 4.6416, 4.6416, 4.6416 Å; angles 90.00, 90.00, 90.00 degrees
Closest atoms and distances in Å follow each position.
Element x y z (fractional)
Ti  0.0000  0.0000  0.5000  2 W 2.32
Ti  0.5000  0.0000  0.0000  2 W 2.32
Ti  0.0000  0.5000  0.0000  2 W 2.32
Nb  0.5000  0.5000  0.5000  12 Ti 3.28
W  0.0000  0.0000  0.0000  6 Ti 2.32

- Formation enthalpy at 0 K: 5.49 eV/f.u.
- N(E_F): 6.60 states/eV/f.u.
- Energy: -8.8210 eV per atom

---

> Number 3 is which compound?

Ta4Mo3

---

> The highest energy belongs to which entry?

Rb2SbP2

---

> Look up the energy of the seventh one.

-4.9054 eV per atom